The following is a PBE-GGA calculation of a geometry-optimized CeB2Ru structure, from Alexandria.

The structure in POSCAR format:
```
CeB2Ru
1.0
3.225 0.000 0.000
0.000 5.110 0.000
0.000 0.000 12.261
Ce Ru B
4 4 8
direct
0.750 0.250 0.026
0.250 0.750 0.974
0.750 0.750 0.474
0.250 0.250 0.526
0.750 0.250 0.295
0.250 0.250 0.795
0.250 0.750 0.705
0.750 0.750 0.205
0.250 0.923 0.317
0.750 0.077 0.683
0.250 0.577 0.317
0.750 0.923 0.817
0.750 0.577 0.817
0.750 0.423 0.683
0.250 0.423 0.183
0.250 0.077 0.183
```

## Properties
N(E_F): 2.68 states/eV/f.u.
Spin magnetization: 0.00 μB per formula unit
Energy above the lowest structure with this stoichiometry: 232.5 meV per atom
Energy of formation: -135.9 kJ/mol of formula units

=====

The following is a PBE-GGA calculation of a geometry-optimized CeBRu structure, from Alexandria.

The structure in POSCAR format:
```
CeBRu
1.0
-1.016 3.321 1.267
-2.027 -1.690 -2.589
-2.331 -1.877 3.051
Ce B Ru
1 1 1
direct
0.000 0.000 0.000
0.667 0.333 0.500
0.333 0.667 0.500
```

## Properties
N(E_F): 4.55 states/eV/f.u.
Spin magnetization: 0.75 μB per formula unit
Energy above the lowest structure with this stoichiometry: 0.0 meV per atom
Energy of formation: -97.6 kJ/mol of formula units

=====

The following is a PBE-GGA calculation of a geometry-optimized CeBRu4 structure, from Alexandria.

The structure in POSCAR format:
```
CeBRu4
1.0
-1.474 3.694 -1.545
-3.074 -2.926 -4.062
-4.877 -2.204 5.278
Ce Ru B
2 8 2
direct
0.593 0.250 0.186
0.407 0.750 0.814
0.385 0.250 0.771
0.615 0.750 0.229
0.797 0.986 0.593
0.203 0.014 0.407
0.203 0.486 0.407
0.797 0.514 0.593
0.000 0.500 0.000
0.000 0.000 0.000
0.107 0.750 0.214
0.893 0.250 0.786
```

## Properties
N(E_F): 6.37 states/eV/f.u.
Spin magnetization: 0.00 μB per formula unit
Energy of formation: -93.4 kJ/mol of formula units